Entry 1:
The following is a DFT calculation (GGA-PBE) of a geometry-optimized PuSi3Rh5 structure.

Calculated values
space-group type = Cmcm
crystal system = orthorhombic
formation energy without anion corrections = -6.04 eV/f.u.

Cell lengths 3.9114, 6.4929, 12.1513 Å; angles 90.00, 90.00, 107.53 degrees
Last column: nearest neighbours and their distance in Å.
Element x y z (fractional)
1 Si 0.6163 0.2327 0.4578  5 Rh 2.28-2.48
2 Rh 0.7977 0.5954 0.0728  2 Si 2.28-2.41
3 Pu 0.1591 0.3181 0.2500  7 Si 3.24-3.42, 10 Rh 3.38-3.62
4 Rh 0.2023 0.4046 0.5728  2 Si 2.28-2.41
5 Rh 0.5515 0.1030 0.8560  4 Si 2.40-2.47, 1 Rh 2.58
6 Rh 0.0000 0.0000 0.5000  4 Si 2.48, 6 Rh 2.66-2.70
7 Si 0.6163 0.2327 0.0422  5 Rh 2.28-2.48
8 Si 0.1147 0.2294 0.7500  6 Rh 2.41-2.47
9 Pu 0.8409 0.6819 0.7500  7 Si 3.24-3.42, 10 Rh 3.38-3.62
10 Si 0.3837 0.7673 0.9578  5 Rh 2.28-2.48
11 Si 0.8853 0.7706 0.2500  6 Rh 2.41-2.47
12 Rh 0.2023 0.4046 0.9272  2 Si 2.28-2.41
13 Rh 0.0000 0.0000 0.0000  4 Si 2.48, 6 Rh 2.66-2.70
14 Rh 0.5515 0.1030 0.6440  4 Si 2.40-2.47, 1 Rh 2.58
15 Rh 0.4485 0.8970 0.1440  4 Si 2.40-2.47, 1 Rh 2.58
16 Rh 0.7977 0.5954 0.4272  2 Si 2.28-2.41
17 Si 0.3837 0.7673 0.5422  5 Rh 2.28-2.48
18 Rh 0.4485 0.8970 0.3560  4 Si 2.40-2.47, 1 Rh 2.58

Entry 2:
The following is a DFT calculation (GGA-PBE) of a geometry-optimized MgTaSi2 structure.

Calculated values
space-group type = I-42d
crystal system = tetragonal
formation energy without anion corrections = 1.49 eV/f.u.

Cell lengths 7.1270, 7.1270, 5.7766 Å; angles 51.91, 51.91, 90.00 degrees
Last column: nearest neighbours and their distance in Å.
Element x y z (fractional)
1 Si 0.6350 0.1250 0.2500  2 Ta 2.57, 2 Mg 2.67, 2 Si 2.83
2 Si 0.8750 0.8850 0.7500  2 Ta 2.57, 2 Mg 2.67, 2 Si 2.83
3 Si 0.1150 0.6250 0.2500  2 Ta 2.57, 2 Mg 2.67, 2 Si 2.83
4 Ta 0.7500 0.2500 0.5000  4 Si 2.57, 2 Mg 2.82
5 Ta 0.0000 0.0000 0.0000  4 Si 2.57, 2 Mg 2.82
6 Mg 0.5000 0.5000 0.0000  4 Si 2.67, 2 Ta 2.82
7 Mg 0.2500 0.7500 0.5000  4 Si 2.67, 2 Ta 2.82
8 Si 0.3750 0.3650 0.7500  2 Ta 2.57, 2 Mg 2.67, 2 Si 2.83

Entry 3:
The following is a DFT calculation (GGA-PBE) of a geometry-optimized BaPt3Pb3 structure.

Calculated values
energy above the lowest structure with this stoichiometry = 0.000 eV per atom
formation energy = -0.24 eV per atom
space-group type = R-3
crystal system = trigonal

Cell lengths 8.3216, 8.3216, 8.4271 Å; angles 60.41, 60.41, 60.00 degrees
Last column: nearest neighbours and their distance in Å.
Element x y z (fractional)
1 Pt 0.0895 0.7295 0.7154  4 Pb 2.78-2.87
2 Pt 0.4656 0.0895 0.7154  4 Pb 2.78-2.87
3 Pb 0.1122 0.3902 0.6841  4 Pt 2.78-2.87
4 Pb 0.3902 0.8135 0.6841  4 Pt 2.78-2.87
5 Pt 0.9105 0.2705 0.2846  4 Pb 2.78-2.87
6 Pb 0.6098 0.1865 0.3159  4 Pt 2.78-2.87
7 Ba 0.6674 0.6674 0.9978  6 Pt 3.26-3.33
8 Pt 0.7295 0.4656 0.7154  4 Pb 2.78-2.87
9 Pb 0.8135 0.1122 0.6841  4 Pt 2.78-2.87
10 Pb 0.1865 0.8878 0.3159  4 Pt 2.78-2.87
11 Pt 0.5344 0.9105 0.2846  4 Pb 2.78-2.87
12 Ba 0.3326 0.3326 0.0022  6 Pt 3.26-3.33
13 Pt 0.2705 0.5344 0.2846  4 Pb 2.78-2.87
14 Pb 0.8878 0.6098 0.3159  4 Pt 2.78-2.87

Entry 4:
The following is a DFT calculation (GGA-PBE) of a geometry-optimized Pm4AsSe2N structure.

Calculated values
space-group type = P2/m
crystal system = monoclinic
formation energy without anion corrections = -12.90 eV/f.u.

Cell lengths 4.0220, 7.0163, 7.1944 Å; angles 108.81, 90.00, 90.00 degrees
Last column: nearest neighbours and their distance in Å.
Element x y z (fractional)
1 Pm 0.0000 0.2310 0.7794  1 N 2.61, 2 As 2.86
2 N 0.0000 0.0000 0.0000  6 Pm 2.61-2.68
3 Se 0.0000 0.5000 0.5000  6 Pm 3.10-3.17
4 Pm 0.0000 0.7690 0.2206  1 N 2.61, 2 As 2.86
5 Pm 0.5000 0.2173 0.2121  2 N 2.68, 1 As 2.87, 1 Se 2.94
6 Pm 0.5000 0.7827 0.7879  2 N 2.68, 1 As 2.87, 1 Se 2.94
7 Se 0.5000 0.0000 0.5000  6 Pm 2.93-2.94
8 As 0.5000 0.5000 0.0000  6 Pm 2.86-2.87

Entry 5:
The following is a DFT calculation (GGA-PBE) of a geometry-optimized Er3SbPbS structure.

Calculated values
space-group type = P2_1/m
crystal system = monoclinic
formation energy without anion corrections = -5.72 eV/f.u.

Cell lengths 4.1508, 9.1229, 10.2281 Å; angles 91.91, 90.00, 90.00 degrees
Last column: nearest neighbours and their distance in Å.
Element x y z (fractional)
1 S 0.7500 0.8510 0.4218  4 Er 2.62-2.82
2 Er 0.2500 0.6139 0.8801  3 Sb 3.02-3.03, 2 Pb 3.17
3 Pb 0.7500 0.8672 0.8242  7 Er 3.17-3.29
4 S 0.2500 0.1490 0.5782  4 Er 2.62-2.82
5 Sb 0.2500 0.6203 0.1764  5 Er 3.02-3.04
6 Er 0.7500 0.1381 0.4168  3 S 2.62-2.65
7 Er 0.2500 0.1405 0.8540  1 S 2.82, 2 Sb 3.04
8 Sb 0.7500 0.3797 0.8236  5 Er 3.02-3.04
9 Er 0.7500 0.8595 0.1460  1 S 2.82, 2 Sb 3.04
10 Er 0.2500 0.8619 0.5832  3 S 2.62-2.65
11 Er 0.7500 0.3861 0.1199  3 Sb 3.02-3.03, 2 Pb 3.17
12 Pb 0.2500 0.1328 0.1758  7 Er 3.17-3.29

Entry 6:
The following is a DFT calculation (GGA-PBE) of a geometry-optimized PmEr2Sc8 structure.

Calculated values
formation energy = 0.13 eV per atom
space-group type = C2/m
crystal system = monoclinic

Cell lengths 5.4713, 8.7227, 9.1930 Å; angles 61.68, 72.71, 51.20 degrees
Last column: nearest neighbours and their distance in Å.
Element x y z (fractional)
1 Sc 0.7557 0.5009 0.0000  2 Sc 2.66-2.81
2 Sc 0.5000 0.2027 0.5946  4 Er 3.24-3.41, 6 Sc 3.27-3.35, 1 Pm 3.28
3 Sc 0.7718 0.0977 0.2617  6 Sc 3.11-3.35, 3 Er 3.29-3.44
4 Pm 0.5000 0.0000 0.0000  6 Sc 3.28-3.66
5 Er 0.0000 0.3103 0.3794  12 Sc 3.24-3.44
6 Er 0.0000 0.6897 0.6206  12 Sc 3.24-3.44
7 Sc 0.7718 0.3594 0.7383  6 Sc 3.11-3.35, 3 Er 3.29-3.44
8 Sc 0.2282 0.6406 0.2617  6 Sc 3.11-3.35, 3 Er 3.29-3.44
9 Sc 0.2282 0.9023 0.7383  6 Sc 3.11-3.35, 3 Er 3.29-3.44
10 Sc 0.2443 0.4991 0.0000  2 Sc 2.66-2.81
11 Sc 0.5000 0.7973 0.4054  4 Er 3.24-3.41, 6 Sc 3.27-3.35, 1 Pm 3.28

Number 1: ρ 9.51 g/cm³, raw total energy -0.300 Ha/atom. Number 2: ρ 6.05 g/cm³, raw total energy -0.210 Ha/atom. Number 3: ρ 10.75 g/cm³, raw total energy -0.172 Ha/atom. Number 4: ρ 7.14 g/cm³, raw total energy -0.238 Ha/atom. Number 5: ρ 7.40 g/cm³, raw total energy -0.192 Ha/atom. Number 6: ρ 4.63 g/cm³, raw total energy -0.211 Ha/atom.